AlCo3 | the Alexandria database | PBEsol | optimized geometry; total DFT energy (no corrections) = -7.028 eV per atom; total magnetic moment = 0.930 μB/atom
1.0
3.950 0.000 0.000
0.000 3.950 0.000
0.000 0.000 2.797
Al Co
1 3
Direct
0.000 0.000 0.000
0.000 0.500 0.500
0.500 0.000 0.500
0.500 0.500 0.000

Zr2TlGaSi | the Alexandria database | PBEsol | optimized geometry; ΔE_f (raw) = 0.18 eV/atom; total DFT energy (no corrections) = -5.804 eV per atom; total magnetic moment = 0.000 μB/atom
1.0
4.982 0.000 0.000
0.000 4.982 0.000
0.000 0.000 4.507
Zr Tl Ga Si
2 1 1 1
Direct
0.000 0.500 0.000
0.500 0.000 0.000
0.000 0.000 0.500
0.500 0.500 0.500
0.500 0.500 0.000

Ga2Ag2Te | the Alexandria database | PBEsol | optimized geometry; ΔE_f (raw) = 0.07 eV/atom; total DFT energy (no corrections) = -3.297 eV per atom; total magnetic moment = 0.000 μB/atom
1.0
-1.995 1.995 6.221
1.995 -1.995 6.221
1.995 1.995 -6.221
Ga Ag Te
2 2 1
Direct
0.101 0.101 0.000
0.899 0.899 0.000
0.250 0.750 0.500
0.750 0.250 0.500
0.500 0.500 0.000

SbRuCl2 | the Alexandria database | PBEsol | optimized geometry; ΔE_f (raw) = 0.65 eV/atom; total DFT energy (no corrections) = -4.034 eV per atom; excess energy over the best structure of this formula in the dataset = 0.289 eV/atom; total magnetic moment = 0.323 μB/atom
1.0
4.198 0.000 0.000
0.000 4.198 0.000
0.000 0.000 4.235
Sb Ru Cl
1 1 2
Direct
0.000 0.000 0.000
0.500 0.500 0.000
0.000 0.500 0.500
0.500 0.000 0.500

Mg4In | the Alexandria database | PBEsol | optimized geometry; total DFT energy (no corrections) = -2.040 eV per atom; total magnetic moment = 0.000 μB/atom
1.0
-3.539 3.539 2.227
3.539 -3.539 2.227
3.539 3.539 -2.227
Mg In
4 1
Direct
0.101 0.699 0.800
0.301 0.101 0.402
0.699 0.899 0.598
0.899 0.301 0.200
0.500 0.500 0.000

KTa2Ni | the Alexandria database | PBEsol | optimized geometry; total DFT energy (no corrections) = -6.496 eV per atom; excess energy over the best structure of this formula in the dataset = 1.079 eV/atom; total magnetic moment = 0.000 μB/atom
1.0
4.792 0.000 0.000
0.000 4.792 0.000
0.000 0.000 2.917
K Ta Ni
1 2 1
Direct
0.000 0.000 0.000
0.000 0.500 0.500
0.500 0.000 0.500
0.500 0.500 0.000

TaTl2As | the Alexandria database | PBEsol | optimized geometry; total DFT energy (no corrections) = -4.827 eV per atom; excess energy over the best structure of this formula in the dataset = 0.349 eV/atom; total magnetic moment = 0.425 μB/atom
1.0
0.000 3.525 3.525
3.525 0.000 3.525
3.525 3.525 0.000
Ta Tl As
1 2 1
Direct
0.000 0.000 0.000
0.250 0.250 0.250
0.750 0.750 0.750
0.500 0.500 0.500

MnAl2Cr3 | the Alexandria database | PBEsol | optimized geometry; total DFT energy (no corrections) = -8.272 eV per atom; total magnetic moment = 0.000 μB/atom
1.0
2.878 0.000 0.000
0.000 2.878 0.000
0.000 0.000 8.634
Mn Al Cr
1 2 3
Direct
0.000 0.000 0.000
0.000 0.000 0.320
0.500 0.500 0.823
0.000 0.000 0.637
0.500 0.500 0.137
0.500 0.500 0.506

Sr2YAl2 | the Alexandria database | PBEsol | optimized geometry; total DFT energy (no corrections) = -3.518 eV per atom; total magnetic moment = 0.170 μB/atom
1.0
-1.885 1.885 11.691
1.885 -1.885 11.691
1.885 1.885 -11.691
Sr Y Al
2 1 2
Direct
0.125 0.125 0.000
0.875 0.875 0.000
0.500 0.500 0.000
0.250 0.750 0.500
0.750 0.250 0.500

Zn5Mo | the Alexandria database | PBEsol | optimized geometry; total DFT energy (no corrections) = -3.239 eV per atom; excess energy over the best structure of this formula in the dataset = 0.028 eV/atom; total magnetic moment = 0.000 μB/atom
1.0
5.008 -1.323 0.000
5.008 1.323 0.000
-1.732 0.000 6.367
Zn Mo
5 1
Direct
0.000 0.000 0.000
0.059 0.059 0.616
0.334 0.334 0.682
0.395 0.395 0.288
0.722 0.722 0.960
0.668 0.668 0.336

K2ZrW | the Alexandria database | PBEsol | optimized geometry; total DFT energy (no corrections) = -4.965 eV per atom; excess energy over the best structure of this formula in the dataset = 0.013 eV/atom; total magnetic moment = 0.001 μB/atom
1.0
1.467 0.847 13.045
-1.467 0.847 13.045
0.000 -1.694 13.045
K Zr W
2 1 1
Direct
0.244 0.244 0.244
0.756 0.756 0.756
0.000 0.000 0.000
0.500 0.500 0.500

CaNiRh2 | the Alexandria database | PBEsol | optimized geometry; total DFT energy (no corrections) = -6.012 eV per atom; total magnetic moment = 0.001 μB/atom
1.0
-1.969 1.969 3.855
1.969 -1.969 3.855
1.969 1.969 -3.855
Ca Ni Rh
1 1 2
Direct
0.000 0.000 0.000
0.750 0.250 0.500
0.250 0.750 0.500
0.500 0.500 0.000

ZrAlSi2 | the Alexandria database | PBEsol | optimized geometry; ΔE_f (raw) = -0.16 eV/atom; total DFT energy (no corrections) = -6.329 eV per atom; total magnetic moment = 0.000 μB/atom
1.0
2.836 0.000 0.000
0.000 2.836 0.000
0.000 0.000 8.037
Zr Al Si
1 1 2
Direct
0.000 0.000 0.000
0.000 0.000 0.500
0.500 0.500 0.255
0.500 0.500 0.745

LiRhAu | the Alexandria database | PBEsol | optimized geometry; total DFT energy (no corrections) = -4.414 eV per atom; total magnetic moment = 0.000 μB/atom
1.0
0.000 2.796 2.796
2.796 0.000 2.796
2.796 2.796 0.000
Li Rh Au
1 1 1
Direct
0.000 0.000 0.000
0.250 0.250 0.250
0.750 0.750 0.750

LiHf3Tl | the Alexandria database | PBEsol | optimized geometry; total DFT energy (no corrections) = -5.783 eV per atom; total magnetic moment = 0.131 μB/atom
1.0
5.286 0.000 0.000
0.000 5.286 0.000
0.000 0.000 5.286
Li Hf Tl
1 3 1
Direct
0.000 0.000 0.000
0.000 0.500 0.500
0.500 0.000 0.500
0.500 0.500 0.000
0.500 0.500 0.500

K2TeMo | the Alexandria database | PBEsol | optimized geometry; ΔE_f (raw) = 0.69 eV/atom; total DFT energy (no corrections) = -3.699 eV per atom; total magnetic moment = 1.147 μB/atom
1.0
3.082 -4.233 0.000
3.082 4.233 0.000
0.000 0.000 4.861
K Te Mo
2 1 1
Direct
0.000 0.500 0.000
0.500 0.000 0.000
0.000 0.000 0.500
0.500 0.500 0.500

NiRu3 | the Alexandria database | PBEsol | optimized geometry; total DFT energy (no corrections) = -8.618 eV per atom; total magnetic moment = 0.392 μB/atom
1.0
4.185 2.416 0.861
-4.185 2.416 0.861
0.000 -4.833 0.861
Ni Ru
1 3
Direct
0.000 0.000 0.000
0.000 0.500 0.500
0.500 0.000 0.500
0.500 0.500 0.000

K2Mg | the Alexandria database | PBEsol | optimized geometry; total DFT energy (no corrections) = -1.148 eV per atom; excess energy over the best structure of this formula in the dataset = 0.004 eV/atom; total magnetic moment = 0.000 μB/atom
1.0
-2.085 2.085 8.605
2.085 -2.085 8.605
2.085 2.085 -8.605
K Mg
2 1
Direct
0.142 0.142 0.000
0.858 0.858 0.000
0.500 0.500 0.000

YBi3Ru4O14 | the Alexandria database | PBEsol | optimized geometry; ΔE_f (raw) = -1.43 eV/atom; total DFT energy (no corrections) = -7.518 eV per atom; total magnetic moment = 0.000 μB/atom
1.0
3.600 2.079 5.916
-3.600 2.079 5.916
0.000 -4.157 5.916
Y Bi Ru O
1 3 4 14
Direct
0.000 0.000 0.000
0.000 0.000 0.500
0.000 0.500 0.000
0.500 0.000 0.000
0.000 0.500 0.500
0.500 0.000 0.500
0.500 0.500 0.000
0.500 0.500 0.500
0.120 0.120 0.120
0.170 0.170 0.577
0.170 0.577 0.170
0.172 0.578 0.578
0.422 0.422 0.828
0.422 0.828 0.422
0.423 0.830 0.830
0.577 0.170 0.170
0.578 0.172 0.578
0.578 0.578 0.172
0.828 0.422 0.422
0.830 0.423 0.830
0.830 0.830 0.423
0.880 0.880 0.880

FeSb2Te | the Alexandria database | PBEsol | optimized geometry; ΔE_f (raw) = 0.18 eV/atom; total DFT energy (no corrections) = -5.223 eV per atom; total magnetic moment = 0.253 μB/atom
1.0
3.108 0.000 0.000
0.000 3.108 0.000
0.000 0.000 9.118
Fe Sb Te
1 2 1
Direct
0.000 0.000 0.000
0.000 0.000 0.499
0.500 0.500 0.188
0.500 0.500 0.839

MgCoP | the Alexandria database | PBEsol | optimized geometry; total DFT energy (no corrections) = -5.709 eV per atom; total magnetic moment = 0.159 μB/atom
1.0
3.722 0.000 0.000
0.000 3.722 0.000
0.000 0.000 5.882
Mg Co P
2 2 2
Direct
0.250 0.250 0.165
0.750 0.750 0.835
0.250 0.750 0.500
0.750 0.250 0.500
0.250 0.250 0.715
0.750 0.750 0.285

SrZn4Ir | the Alexandria database | PBEsol | optimized geometry; total DFT energy (no corrections) = -3.091 eV per atom; total magnetic moment = 0.000 μB/atom
1.0
0.000 3.640 3.640
3.640 0.000 3.640
3.640 3.640 0.000
Sr Zn Ir
1 4 1
Direct
0.000 0.000 0.000
0.130 0.623 0.623
0.623 0.130 0.623
0.623 0.623 0.130
0.623 0.623 0.623
0.250 0.250 0.250

MgZnRe2F | the Alexandria database | PBEsol | optimized geometry; ΔE_f (raw) = 1.48 eV/atom; total DFT energy (no corrections) = -4.898 eV per atom; total magnetic moment = 0.831 μB/atom
1.0
4.818 0.000 0.000
0.000 4.818 0.000
0.000 0.000 3.781
Mg Zn Re F
1 1 2 1
Direct
0.000 0.000 0.000
0.500 0.500 0.500
0.000 0.500 0.500
0.500 0.000 0.500
0.500 0.500 0.000

NaZnSiAg2 | the Alexandria database | PBEsol | optimized geometry; ΔE_f (raw) = 0.51 eV/atom; total DFT energy (no corrections) = -2.562 eV per atom; total magnetic moment = 0.000 μB/atom
1.0
4.730 0.000 0.000
0.000 4.730 0.000
0.000 0.000 5.406
Na Zn Si Ag
1 1 1 2
Direct
0.000 0.000 0.000
0.500 0.500 0.000
0.000 0.000 0.500
0.000 0.500 0.500
0.500 0.000 0.500

YAgHg2 | the Alexandria database | PBEsol | optimized geometry; total DFT energy (no corrections) = -3.098 eV per atom; total magnetic moment = 0.000 μB/atom
1.0
3.273 0.000 0.000
0.000 4.816 0.000
-0.009 0.000 5.697
Y Ag Hg
1 1 2
Direct
0.000 0.000 0.000
0.502 0.500 0.244
0.499 0.500 0.757
0.500 0.000 0.487

Ba2Hg2Bi | the Alexandria database | PBEsol | optimized geometry; total DFT energy (no corrections) = -2.569 eV per atom; total magnetic moment = 0.000 μB/atom
1.0
8.446 0.000 0.000
0.000 8.446 0.000
0.000 0.000 4.789
Ba Hg Bi
4 4 2
Direct
0.182 0.318 0.000
0.318 0.818 0.000
0.682 0.182 0.000
0.818 0.682 0.000
0.121 0.621 0.500
0.379 0.121 0.500
0.621 0.879 0.500
0.879 0.379 0.500
0.000 0.000 0.500
0.500 0.500 0.500

Ba3PrIr2O9 | the Alexandria database | PBEsol | optimized geometry; ΔE_f (raw) = -2.08 eV/atom; total DFT energy (no corrections) = -7.312 eV per atom; total magnetic moment = 0.000 μB/atom
1.0
5.923 0.000 0.000
-2.962 5.130 0.000
0.000 0.000 14.944
Ba Pr Ir O
6 2 4 18
Direct
0.000 0.000 0.250
0.000 0.000 0.750
0.333 0.667 0.101
0.333 0.667 0.399
0.667 0.333 0.601
0.667 0.333 0.899
0.000 0.000 0.000
0.000 0.000 0.500
0.333 0.667 0.667
0.333 0.667 0.833
0.667 0.333 0.167
0.667 0.333 0.333
0.016 0.508 0.750
0.179 0.357 0.592
0.179 0.357 0.908
0.179 0.821 0.592
0.179 0.821 0.908
0.357 0.179 0.092
0.357 0.179 0.408
0.492 0.508 0.750
0.492 0.984 0.750
0.508 0.016 0.250
0.508 0.492 0.250
0.643 0.821 0.592
0.643 0.821 0.908
0.821 0.179 0.092
0.821 0.179 0.408
0.821 0.643 0.092
0.821 0.643 0.408
0.984 0.492 0.250

Number 1: density 7.755 g cm⁻³. Number 2: density 7.195 g cm⁻³. Number 3: density 8.093 g cm⁻³. Number 4: density 6.537 g cm⁻³. Number 5: density 3.156 g cm⁻³. Number 6: density 11.397 g cm⁻³. Number 7: density 12.602 g cm⁻³. Number 8: density 6.151 g cm⁻³. Number 9: density 3.180 g cm⁻³. Number 10: density 8.326 g cm⁻³. Number 11: density 6.034 g cm⁻³. Number 12: density 8.461 g cm⁻³. Number 13: density 4.480 g cm⁻³. Number 14: density 11.651 g cm⁻³. Number 15: density 8.394 g cm⁻³. Number 16: density 3.951 g cm⁻³. Number 17: density 11.505 g cm⁻³. Number 18: density 1.137 g cm⁻³. Number 19: density 8.401 g cm⁻³. Number 20: density 8.047 g cm⁻³. Number 21: density 4.654 g cm⁻³. Number 22: density 9.319 g cm⁻³. Number 23: density 9.103 g cm⁻³. Number 24: density 4.562 g cm⁻³. Number 25: density 11.059 g cm⁻³. Number 26: density 8.601 g cm⁻³. Number 27: density 7.909 g cm⁻³.